[1]
Here is RbAu3Se at its PBEsol-relaxed geometry from the Alexandria database. Energies are from SCAN.

Cell: 5.144 5.144 5.144 Å, 90.00 90.00 90.00°
Atoms (fractional coordinates):
Rb 0.000 0.000 0.000
Au 0.000 0.500 0.500
Au 0.500 0.000 0.500
Au 0.500 0.500 0.000
Se 0.500 0.500 0.500

SG ... Pm-3m, No. 221
E ... -248.5 eV/cell
Spin magnetization ... 0.0 μB per cell

=====

[2]
Here is FeCuAu2 at its PBEsol-relaxed geometry from the Alexandria database. Energies are from SCAN.

Cell: 2.764 2.764 7.471 Å, 90.00 90.00 90.00°
Atoms (fractional coordinates):
Fe 0.000 0.000 0.000
Cu 0.000 0.000 0.500
Au 0.500 0.500 0.251
Au 0.500 0.500 0.749

SG ... P4/mmm, No. 123
E ... -171.8 eV/cell
DFT formation energy ... -0.049 eV per atom
Spin magnetization ... 3.2 μB per cell

=====

[3]
Here is Zn2Pd2Au at its PBEsol-relaxed geometry from the Alexandria database. Energies are from SCAN.

Cell: 7.260 7.260 2.817 Å, 90.00 90.00 90.00°
Atoms (fractional coordinates):
Zn 0.162 0.338 0.000
Zn 0.338 0.838 0.000
Zn 0.662 0.162 0.000
Zn 0.838 0.662 0.000
Pd 0.136 0.636 0.500
Pd 0.364 0.136 0.500
Pd 0.636 0.864 0.500
Pd 0.864 0.364 0.500
Au 0.000 0.000 0.500
Au 0.500 0.500 0.500

SG ... P4/mbm, No. 127
E ... -327.2 eV/cell
DFT formation energy ... -0.377 eV per atom
Spin magnetization ... 0.0 μB per cell

=====

[4]
Here is CoReW2 at its PBEsol-relaxed geometry from the Alexandria database. Energies are from SCAN.

Cell: 2.638 3.843 5.625 Å, 90.00 90.00 90.00°
Atoms (fractional coordinates):
Co 0.000 0.000 0.000
Re 0.500 0.500 0.227
W 0.000 0.000 0.490
W 0.500 0.500 0.771

SG ... Pmm2, No. 25
E ... -226.5 eV/cell
DFT formation energy ... 0.310 eV per atom
Spin magnetization ... 1.1 μB per cell

=====

[5]
Here is Sc2TcF2 at its PBEsol-relaxed geometry from the Alexandria database. Energies are from SCAN.

Cell: 6.652 6.652 6.652 Å, 151.34 151.34 40.98°
Atoms (fractional coordinates):
Sc 0.131 0.131 0.000
Sc 0.869 0.869 0.000
Tc 0.500 0.500 0.000
F 0.250 0.750 0.500
F 0.750 0.250 0.500

SG ... I4/mmm, No. 139
E ... -81.5 eV/cell
Spin magnetization ... 0.0 μB per cell

=====

[6]
Here is NaAlN2O at its PBEsol-relaxed geometry from the Alexandria database. Energies are from SCAN.

Cell: 4.084 4.084 3.915 Å, 90.00 90.00 90.00°
Atoms (fractional coordinates):
Na 0.000 0.000 0.000
Al 0.500 0.500 0.500
N 0.000 0.500 0.000
N 0.500 0.000 0.000
O 0.000 0.000 0.500

SG ... P4/mmm, No. 123
E ... -28.5 eV/cell
Spin magnetization ... 4.3 μB per cell

=====

spin magnetization of number 2 (FeCuAu2)?
3.2 μB per cell

=====

E of number 5 (Sc2TcF2)?
-81.5 eV/cell

=====

Repeat the first record exactly.
Here is RbAu3Se at its PBEsol-relaxed geometry from the Alexandria database. Energies are from SCAN.

Cell: 5.144 5.144 5.144 Å, 90.00 90.00 90.00°
Atoms (fractional coordinates):
Rb 0.000 0.000 0.000
Au 0.000 0.500 0.500
Au 0.500 0.000 0.500
Au 0.500 0.500 0.000
Se 0.500 0.500 0.500

SG ... Pm-3m, No. 221
E ... -248.5 eV/cell
Spin magnetization ... 0.0 μB per cell

=====

spin magnetization of number 2 (FeCuAu2)?
3.2 μB per cell